# CuHgAs PBE-GGA relaxed
data_CuHgAs
_chemical_formula_sum 'Cu2 Hg2 As2'
_symmetry_space_group_name_H-M 'I 4 m m'
_symmetry_Int_Tables_number 107
_symmetry_space_group_name_Hall 'I 4 -2'
_cell_length_a 2.947
_cell_length_b 2.947
_cell_length_c 13.331
_cell_angle_alpha 90.00
_cell_angle_beta 90.00
_cell_angle_gamma 90.00
loop_
_atom_site_label
_atom_site_type_symbol
_atom_site_fract_x
_atom_site_fract_y
_atom_site_fract_z
_atom_site_occupancy
Cu1 Cu 0.000 0.000 0.000 1
Hg1 Hg 0.000 0.000 0.336 1
As1 As 0.000 0.000 0.615 1
# Formation energy   0.222 eV per atom
# Size of the total moment   0.00 μB/atom
# Calculated density   9.72 g/cm3
# Electronic total energy   -16.76 eV/cell